Entry 1:
First-principles (PBE) data for an optimized crystal structure of PaSb2Ru2, as listed in Alexandria.

Unit cell a=4.671 b=4.627 c=10.207 alpha=90.00 beta=95.94 gamma=90.00
Positions (direct):
Pa 0.165 0.250 0.159
Pa 0.835 0.750 0.841
Sb 0.248 0.250 0.488
Sb 0.318 0.250 0.798
Sb 0.682 0.750 0.202
Sb 0.752 0.750 0.512
Ru 0.216 0.750 0.347
Ru 0.363 0.750 0.943
Ru 0.637 0.250 0.057
Ru 0.784 0.250 0.653

Calculated values
Polymorph energy (0 for the lowest one)   0.000 eV per atom
Formation energy without anion corrections   -2.073 eV per formula unit
Calculated total energy   -7.6731 eV/atom
Space group   No. 11

***

Entry 2:
First-principles (PBE) data for an optimized crystal structure of PaSb2Ru2, as listed in Alexandria.

Unit cell a=4.465 b=4.466 c=10.403 alpha=90.00 beta=90.06 gamma=90.00
Positions (direct):
Pa 0.249 0.250 0.265
Pa 0.751 0.750 0.735
Sb 0.250 0.750 0.000
Sb 0.251 0.250 0.634
Sb 0.749 0.750 0.366
Sb 0.750 0.250 0.000
Ru 0.250 0.250 0.874
Ru 0.250 0.750 0.500
Ru 0.750 0.250 0.500
Ru 0.750 0.750 0.126

Calculated values
Polymorph energy (0 for the lowest one)   0.099 eV per atom
Formation energy without anion corrections   -1.580 eV per formula unit
Calculated total energy   -7.5745 eV/atom
Space group   No. 11

***

Entry 3:
First-principles (PBE) data for an optimized crystal structure of Pa4Sb8Ru3, as listed in Alexandria.

Unit cell a=4.422 b=4.422 c=18.280 alpha=90.00 beta=90.00 gamma=90.00
Positions (direct):
Pa 0.000 0.500 0.109
Pa 0.000 0.500 0.615
Pa 0.500 0.000 0.385
Pa 0.500 0.000 0.891
Sb 0.000 0.000 0.246
Sb 0.000 0.000 0.754
Sb 0.000 0.500 0.411
Sb 0.000 0.500 0.921
Sb 0.500 0.000 0.079
Sb 0.500 0.000 0.589
Sb 0.500 0.500 0.246
Sb 0.500 0.500 0.754
Ru 0.000 0.000 0.000
Ru 0.000 0.000 0.500
Ru 0.500 0.500 0.500

Calculated values
Formation energy without anion corrections   -7.808 eV per formula unit
Calculated total energy   -7.1066 eV/atom
Space group   No. 115

***

Entry 4:
First-principles (PBE) data for an optimized crystal structure of Pa3Sb4Ru3, as listed in Alexandria.

Unit cell a=8.327 b=8.327 c=8.327 alpha=109.47 beta=109.47 gamma=109.47
Positions (direct):
Pa 0.125 0.750 0.875
Pa 0.250 0.625 0.375
Pa 0.375 0.250 0.625
Pa 0.625 0.375 0.250
Pa 0.750 0.875 0.125
Pa 0.875 0.125 0.750
Sb 0.000 0.326 0.500
Sb 0.000 0.826 0.500
Sb 0.174 0.174 0.174
Sb 0.326 0.500 0.000
Sb 0.500 0.000 0.326
Sb 0.500 0.000 0.826
Sb 0.674 0.674 0.674
Sb 0.826 0.500 0.000
Ru 0.125 0.875 0.250
Ru 0.250 0.125 0.875
Ru 0.375 0.625 0.750
Ru 0.625 0.750 0.375
Ru 0.750 0.375 0.625
Ru 0.875 0.250 0.125

Calculated values
Formation energy without anion corrections   -5.771 eV per formula unit
Calculated total energy   -7.8576 eV/atom
Space group   No. 220

***

Entry 5:
First-principles (PBE) data for an optimized crystal structure of Pa2Sb3Ru, as listed in Alexandria.

Unit cell a=6.955 b=6.955 c=6.955 alpha=143.41 beta=127.75 gamma=65.47
Positions (direct):
Pa 0.182 0.182 0.000
Pa 0.818 0.818 0.000
Sb 0.000 0.500 0.500
Sb 0.364 0.864 0.500
Sb 0.636 0.136 0.500
Ru 0.500 0.500 0.000

Calculated values
Formation energy without anion corrections   -0.841 eV per formula unit
Calculated total energy   -6.9126 eV/atom
Space group   No. 71

***

Entry 6:
First-principles (PBE) data for an optimized crystal structure of Pa2Sb2Ru3, as listed in Alexandria.

Unit cell a=6.872 b=6.872 c=4.991 alpha=93.50 beta=93.50 gamma=39.72
Positions (direct):
Pa 0.148 0.148 0.377
Pa 0.852 0.852 0.623
Sb 0.403 0.403 0.170
Sb 0.597 0.597 0.830
Ru 0.000 0.000 0.000
Ru 0.224 0.224 0.824
Ru 0.776 0.776 0.176

Calculated values
Formation energy without anion corrections   -3.355 eV per formula unit
Calculated total energy   -8.3456 eV/atom
Space group   No. 12

***

Entry 7:
First-principles (PBE) data for an optimized crystal structure of PaSbRuSe, as listed in Alexandria.

Unit cell a=4.451 b=4.451 c=8.567 alpha=90.00 beta=90.00 gamma=90.00
Positions (direct):
Pa 0.250 0.250 0.229
Pa 0.750 0.750 0.771
Sb 0.250 0.250 0.671
Sb 0.750 0.750 0.329
Ru 0.250 0.750 0.500
Ru 0.750 0.250 0.500
Se 0.250 0.750 0.000
Se 0.750 0.250 0.000

Calculated values
Formation energy without anion corrections   -2.981 eV per formula unit
Calculated total energy   -7.3398 eV/atom
Space group   No. 129

***

Entry 8:
First-principles (PBE) data for an optimized crystal structure of PaTcSbRu, as listed in Alexandria.

Unit cell a=4.755 b=4.755 c=4.755 alpha=60.00 beta=60.00 gamma=60.00
Positions (direct):
Pa 0.000 0.000 0.000
Tc 0.250 0.250 0.250
Sb 0.500 0.500 0.500
Ru 0.750 0.750 0.750

Calculated values
Formation energy without anion corrections   -0.825 eV per formula unit
Calculated total energy   -8.5214 eV/atom
Space group   No. 216

***

Entry 9:
First-principles (PBE) data for an optimized crystal structure of PaVSbRu, as listed in Alexandria.

Unit cell a=4.723 b=4.723 c=4.723 alpha=60.00 beta=60.00 gamma=60.00
Positions (direct):
Pa 0.000 0.000 0.000
V 0.750 0.750 0.750
Sb 0.500 0.500 0.500
Ru 0.250 0.250 0.250

Calculated values
Formation energy without anion corrections   -0.615 eV per formula unit
Calculated total energy   -8.1570 eV/atom
Space group   No. 216

***

Entry 10:
First-principles (PBE) data for an optimized crystal structure of Sc2PaRu, as listed in Alexandria.

Unit cell a=3.197 b=3.197 c=8.127 alpha=90.00 beta=90.00 gamma=90.00
Positions (direct):
Sc 0.000 0.000 0.191
Sc 0.000 0.000 0.809
Pa 0.500 0.500 0.500
Ru 0.500 0.500 0.000

Calculated values
Polymorph energy (0 for the lowest one)   0.052 eV per atom
ΔH_f (0 K)   -238 meV/atom
Calculated total energy   -8.0966 eV/atom
Space group   No. 123

***

Entry 11:
First-principles (PBE) data for an optimized crystal structure of Sc2PaRu, as listed in Alexandria.

Unit cell a=5.825 b=5.825 c=9.033 alpha=90.00 beta=90.00 gamma=144.29
Positions (direct):
Sc 0.138 0.862 0.564
Sc 0.138 0.862 0.936
Sc 0.862 0.138 0.064
Sc 0.862 0.138 0.436
Pa 0.426 0.574 0.750
Pa 0.574 0.426 0.250
Ru 0.239 0.761 0.250
Ru 0.761 0.239 0.750

Calculated values
Polymorph energy (0 for the lowest one)   0.000 eV per atom
ΔH_f (0 K)   -290 meV/atom
Calculated total energy   -8.1482 eV/atom
Space group   No. 63

***

Entry 12:
First-principles (PBE) data for an optimized crystal structure of Sc2Pa3Ru4, as listed in Alexandria.

Unit cell a=6.867 b=6.867 c=8.079 alpha=97.31 beta=97.31 gamma=88.03
Positions (direct):
Sc 0.019 0.799 0.568
Sc 0.201 0.981 0.932
Sc 0.799 0.019 0.068
Sc 0.981 0.201 0.432
Pa 0.177 0.464 0.830
Pa 0.311 0.689 0.250
Pa 0.464 0.177 0.330
Pa 0.536 0.823 0.670
Pa 0.689 0.311 0.750
Pa 0.823 0.536 0.170
Ru 0.112 0.306 0.147
Ru 0.279 0.501 0.494
Ru 0.306 0.112 0.647
Ru 0.499 0.721 0.006
Ru 0.501 0.279 0.994
Ru 0.694 0.888 0.353
Ru 0.721 0.499 0.506
Ru 0.888 0.694 0.853

Calculated values
ΔH_f (0 K)   -461 meV/atom
Calculated total energy   -9.1558 eV/atom
Space group   No. 15

***

Entry 13:
First-principles (PBE) data for an optimized crystal structure of Sc4PaRu5, as listed in Alexandria.

Unit cell a=3.301 b=3.301 c=16.055 alpha=90.00 beta=90.00 gamma=90.00
Positions (direct):
Sc 0.000 0.000 0.096
Sc 0.000 0.000 0.289
Sc 0.000 0.000 0.711
Sc 0.000 0.000 0.904
Pa 0.000 0.000 0.500
Ru 0.500 0.500 0.000
Ru 0.500 0.500 0.200
Ru 0.500 0.500 0.404
Ru 0.500 0.500 0.596
Ru 0.500 0.500 0.800

Calculated values
ΔH_f (0 K)   -565 meV/atom
Calculated total energy   -8.6853 eV/atom
Space group   No. 123

***

Entry 14:
First-principles (PBE) data for an optimized crystal structure of ScPa2Ru4, as listed in Alexandria.

Unit cell a=8.037 b=8.037 c=8.037 alpha=32.96 beta=32.96 gamma=32.96
Positions (direct):
Sc 0.000 0.000 0.000
Pa 0.241 0.241 0.241
Pa 0.759 0.759 0.759
Ru 0.118 0.118 0.118
Ru 0.374 0.374 0.374
Ru 0.626 0.626 0.626
Ru 0.882 0.882 0.882

Calculated values
ΔH_f (0 K)   -320 meV/atom
Calculated total energy   -9.2379 eV/atom
Space group   No. 166

***

Entry 15:
First-principles (PBE) data for an optimized crystal structure of ScPaRu4, as listed in Alexandria.

Unit cell a=5.075 b=5.075 c=6.388 alpha=115.01 beta=115.01 gamma=44.27
Positions (direct):
Sc 0.000 0.000 0.000
Pa 0.000 0.000 0.500
Ru 0.298 0.298 0.676
Ru 0.333 0.333 0.141
Ru 0.667 0.667 0.859
Ru 0.702 0.702 0.324

Calculated values
Polymorph energy (0 for the lowest one)   0.118 eV per atom
ΔH_f (0 K)   -189 meV/atom
Calculated total energy   -9.0112 eV/atom
Space group   No. 12

***

Entry 16:
First-principles (PBE) data for an optimized crystal structure of ScPa2Ru2, as listed in Alexandria.

Unit cell a=6.410 b=6.410 c=10.643 alpha=114.90 beta=114.90 gamma=32.82
Positions (direct):
Sc 0.196 0.196 0.361
Sc 0.804 0.804 0.639
Pa 0.326 0.326 0.922
Pa 0.440 0.440 0.294
Pa 0.560 0.560 0.706
Pa 0.674 0.674 0.078
Ru 0.026 0.026 0.883
Ru 0.125 0.125 0.578
Ru 0.875 0.875 0.422
Ru 0.974 0.974 0.117

Calculated values
ΔH_f (0 K)   -405 meV/atom
Calculated total energy   -9.1798 eV/atom
Space group   No. 12

***

Entry 17:
First-principles (PBE) data for an optimized crystal structure of ScPaRu2, as listed in Alexandria.

Unit cell a=4.656 b=4.656 c=3.409 alpha=90.00 beta=90.00 gamma=90.00
Positions (direct):
Sc 0.000 0.000 0.000
Pa 0.500 0.500 0.000
Ru 0.000 0.500 0.500
Ru 0.500 0.000 0.500

Calculated values
ΔH_f (0 K)   -579 meV/atom
Calculated total energy   -9.1741 eV/atom
Space group   No. 123

***

Entry 18:
First-principles (PBE) data for an optimized crystal structure of Sc5PaRu4, as listed in Alexandria.

Unit cell a=3.195 b=3.195 c=17.934 alpha=90.00 beta=90.00 gamma=90.00
Positions (direct):
Sc 0.000 0.000 0.000
Sc 0.000 0.000 0.180
Sc 0.000 0.000 0.357
Sc 0.000 0.000 0.643
Sc 0.000 0.000 0.820
Pa 0.500 0.500 0.500
Ru 0.500 0.500 0.090
Ru 0.500 0.500 0.273
Ru 0.500 0.500 0.727
Ru 0.500 0.500 0.910

Calculated values
ΔH_f (0 K)   -415 meV/atom
Calculated total energy   -8.2405 eV/atom
Space group   No. 123

***

Entry 19:
First-principles (PBE) data for an optimized crystal structure of Sc2PaRu3, as listed in Alexandria.

Unit cell a=4.676 b=4.676 c=5.663 alpha=90.00 beta=90.00 gamma=120.00
Positions (direct):
Sc 0.333 0.667 0.152
Sc 0.667 0.333 0.848
Pa 0.000 0.000 0.500
Ru 0.000 0.000 0.000
Ru 0.333 0.667 0.660
Ru 0.667 0.333 0.340

Calculated values
Polymorph energy (0 for the lowest one)   0.000 eV per atom
ΔH_f (0 K)   -652 meV/atom
Calculated total energy   -8.9834 eV/atom
Space group   No. 164

***

Entry 20:
First-principles (PBE) data for an optimized crystal structure of ScPaRu4, as listed in Alexandria.

Unit cell a=5.273 b=5.273 c=5.273 alpha=60.00 beta=60.00 gamma=60.00
Positions (direct):
Sc 0.000 0.000 0.000
Pa 0.250 0.250 0.250
Ru 0.123 0.626 0.626
Ru 0.626 0.123 0.626
Ru 0.626 0.626 0.123
Ru 0.626 0.626 0.626

Calculated values
Polymorph energy (0 for the lowest one)   0.000 eV per atom
ΔH_f (0 K)   -307 meV/atom
Calculated total energy   -9.1292 eV/atom
Space group   No. 216

***

Entry 21:
First-principles (PBE) data for an optimized crystal structure of Sc2PaRu3, as listed in Alexandria.

Unit cell a=7.292 b=7.292 c=7.292 alpha=154.21 beta=136.75 gamma=51.04
Positions (direct):
Sc 0.163 0.163 0.000
Sc 0.837 0.837 0.000
Pa 0.500 0.500 0.000
Ru 0.000 0.500 0.500
Ru 0.338 0.838 0.500
Ru 0.662 0.162 0.500

Calculated values
Polymorph energy (0 for the lowest one)   0.462 eV per atom
ΔH_f (0 K)   -190 meV/atom
Calculated total energy   -8.5212 eV/atom
Space group   No. 71

***

Entry 22:
First-principles (PBE) data for an optimized crystal structure of Sc3PaRu3, as listed in Alexandria.

Unit cell a=5.564 b=5.564 c=5.564 alpha=108.96 beta=108.96 gamma=108.96
Positions (direct):
Sc 0.199 0.199 0.602
Sc 0.199 0.602 0.199
Sc 0.602 0.199 0.199
Pa 0.802 0.802 0.802
Ru 0.180 0.699 0.699
Ru 0.699 0.180 0.699
Ru 0.699 0.699 0.180

Calculated values
ΔH_f (0 K)   -577 meV/atom
Calculated total energy   -8.6222 eV/atom
Space group   No. 160

***

Entry 23:
First-principles (PBE) data for an optimized crystal structure of Sc2PaRu2, as listed in Alexandria.

Unit cell a=10.046 b=10.046 c=3.205 alpha=90.00 beta=90.00 gamma=161.41
Positions (direct):
Sc 0.172 0.828 0.000
Sc 0.828 0.172 0.000
Pa 0.000 0.000 0.000
Ru 0.404 0.596 0.500
Ru 0.596 0.404 0.500

Calculated values
ΔH_f (0 K)   -372 meV/atom
Calculated total energy   -8.5141 eV/atom
Space group   No. 65

***

Entry 24:
First-principles (PBE) data for an optimized crystal structure of Sc2PaSi2Ru5, as listed in Alexandria.

Unit cell a=9.700 b=9.700 c=3.449 alpha=90.00 beta=90.00 gamma=90.00
Positions (direct):
Sc 0.169 0.331 0.000
Sc 0.331 0.831 0.000
Sc 0.669 0.169 0.000
Sc 0.831 0.669 0.000
Pa 0.000 0.000 0.000
Pa 0.500 0.500 0.000
Si 0.127 0.627 0.000
Si 0.373 0.127 0.000
Si 0.627 0.873 0.000
Si 0.873 0.373 0.000
Ru 0.000 0.500 0.500
Ru 0.073 0.791 0.500
Ru 0.209 0.073 0.500
Ru 0.291 0.573 0.500
Ru 0.427 0.291 0.500
Ru 0.500 0.000 0.500
Ru 0.573 0.709 0.500
Ru 0.709 0.427 0.500
Ru 0.791 0.927 0.500
Ru 0.927 0.209 0.500

Calculated values
Formation energy without anion corrections   -7.370 eV per formula unit
Calculated total energy   -8.6754 eV/atom
Space group   No. 127

***

| no. | theoretical density (g/cm3) | density of states at the Fermi level (states/eV per atom) |
| --- | --- | --- |
| 1 | 10.2 | 0.36 |
| 2 | 10.8 | 0.54 |
| 3 | 10.2 | 0.78 |
| 4 | 11.1 | 1.46 |
| 5 | 9.9 | 1.57 |
| 6 | 11.1 | 0.64 |
| 7 | 10.4 | 0.53 |
| 8 | 12.1 | 1.57 |
| 9 | 11.3 | 0.99 |
| 10 | 8.4 | 1.31 |
| 11 | 7.8 | 1.75 |
| 12 | 10.5 | 0.87 |
| 13 | 8.7 | 0.52 |
| 14 | 11.1 | 0.60 |
| 15 | 11.1 | 1.15 |
| 16 | 11.1 | 1.18 |
| 17 | 10.7 | 0.72 |
| 18 | 7.8 | 1.40 |
| 19 | 9.7 | 0.25 |
| 20 | 10.9 | 1.51 |
| 21 | 9.0 | 0.67 |
| 22 | 8.2 | 0.42 |
| 23 | 8.4 | 0.72 |
| 24 | 9.0 | 0.51 |